No. 1
Compound: RbMgI3
Source: Alexandria via LeMat-Bulk
Functional: GGA-PBE
Structure: relaxed

## Properties
The value obtained for the formation energy from raw total energies is -1158 meV per atom. The space-group type is Pm-3m (221). As for the total energy: -2.600 eV per atom. The value obtained for the density of states at the Fermi level is 0.00 states/eV/f.u. For the calculated density, the calculation gives 4.007 g/cm³.

abc: 5.8798 5.8798 5.8798
angles: 90.00 90.00 90.00
Last column: nearest neighbours and their distance in Å.
Element x y z (fractional)
Rb (0.0000, 0.0000, 0.0000)  12 I 4.16
Mg (0.5000, 0.5000, 0.5000)  6 I 2.94
I (0.0000, 0.5000, 0.5000)  2 Mg 2.94
I (0.5000, 0.0000, 0.5000)  2 Mg 2.94
I (0.5000, 0.5000, 0.0000)  2 Mg 2.94

No. 2
Compound: Sb2PtCl
Source: Alexandria via LeMat-Bulk
Functional: GGA-PBE
Structure: relaxed

## Properties
The value obtained for the formation energy from raw total energies is -430 meV per atom. The space-group type is R-3m (166). As for the total energy: -4.463 eV per atom. The value obtained for the density of states at the Fermi level is 2.05 states/eV/f.u. For the calculated density, the calculation gives 7.598 g/cm³.

abc: 7.3502 7.3502 7.3502
angles: 32.79 32.79 32.79
Last column: nearest neighbours and their distance in Å.
Element x y z (fractional)
Sb (0.2264, 0.2264, 0.2264)  3 Pt 2.70
Sb (0.7736, 0.7736, 0.7736)  3 Pt 2.70
Pt (0.5000, 0.5000, 0.5000)  6 Sb 2.70
Cl (0.0000, 0.0000, 0.0000)  6 Sb 3.27

No. 3
Compound: Sm6InAg2
Source: Alexandria via LeMat-Bulk
Functional: GGA-PBE
Structure: relaxed

## Properties
The value obtained for the calculated formation energy is -0.1990 eV per atom. The space-group type is Immm (71). As for the total energy: -4.283 eV per atom. The value obtained for the density of states at the Fermi level is 10.29 states/eV/f.u. For the calculated density, the calculation gives 7.647 g/cm³.

abc: 8.8610 8.8610 8.8610
angles: 110.46 109.82 108.14
Last column: nearest neighbours and their distance in Å.
Element x y z (fractional)
Sm (0.0449, 0.8229, 0.2220)  3 Ag 3.01-3.25
Sm (0.2450, 0.5420, 0.2970)  2 Ag 2.99-3.26, 1 In 3.27
Sm (0.2450, 0.9480, 0.7030)  2 Ag 2.99-3.26, 1 In 3.27
Sm (0.2703, 0.3181, 0.5884)  3 Ag 3.28, 1 In 3.31
Sm (0.2703, 0.6819, 0.9521)  3 Ag 3.28, 1 In 3.31
Sm (0.3991, 0.1771, 0.2220)  3 Ag 3.01-3.25
Sm (0.6009, 0.8229, 0.7780)  3 Ag 3.01-3.25
Sm (0.7297, 0.3181, 0.0479)  3 Ag 3.28, 1 In 3.31
Sm (0.7297, 0.6819, 0.4116)  3 Ag 3.28, 1 In 3.31
Sm (0.7550, 0.0520, 0.2970)  2 Ag 2.99-3.26, 1 In 3.27
Sm (0.7550, 0.4580, 0.7030)  2 Ag 2.99-3.26, 1 In 3.27
Sm (0.9551, 0.1771, 0.7780)  3 Ag 3.01-3.25
In (0.0000, 0.5000, 0.5000)  8 Sm 3.27-3.31, 2 Ag 3.62
In (0.5000, 0.0000, 0.5000)  8 Sm 3.35-3.38
Ag (0.0000, 0.1421, 0.1421)  1 Ag 2.87, 2 Sm 2.99
Ag (0.0000, 0.8579, 0.8579)  1 Ag 2.87, 2 Sm 2.99
Ag (0.3680, 0.3680, 0.0000)  1 Ag 2.75, 2 Sm 3.01
Ag (0.6320, 0.6320, 0.0000)  1 Ag 2.75, 2 Sm 3.01